Density functional theory data (PBE-GGA) for an optimized crystal structure of Mg2FeSb.

Calculated values
raw formation energy: 84 meV/atom
distance to the lowest polymorph of the same formula: 5 meV per atom
spin magnetization: 2.505 μB/f.u.

Structure (CIF):
```
data_Mg2FeSb
_cell_length_a 4.152
_cell_length_b 4.152
_cell_length_c 8.793
_cell_angle_alpha 90.00
_cell_angle_beta 90.00
_cell_angle_gamma 90.00
_symmetry_space_group_name_H-M 'I -4 m 2'
_symmetry_Int_Tables_number 119
_symmetry_space_group_name_Hall 'I -4 -2'
loop_
_atom_site_label
_atom_site_type_symbol
_atom_site_fract_x
_atom_site_fract_y
_atom_site_fract_z
_atom_site_occupancy
Mg1 Mg 0.000 0.000 0.000 1
Mg2 Mg 0.000 0.500 0.250 1
Fe1 Fe 0.000 0.000 0.500 1
Sb1 Sb 0.000 0.500 0.750 1
```